1.
Below is crystalline BeNb2Pb at its relaxed geometry, with properties calculated at the PBE level.

- Final energy: -49.84 eV for the cell shown
- Excess energy over the best structure of this formula in the dataset: 106 meV per atom
- Density of states at the Fermi level: 0.635 states/eV/atom
- Calculated formation energy: 0.664 eV per atom
- Crystal system: tetragonal

Lattice parameters (Å, degrees): 3.9152 3.9152 10.4522 79.21 79.21 90.00
Positions (direct):
Pb1 0.0000 0.0000 0.0000
Pb2 0.7500 0.2500 0.5000
Nb1 0.3750 0.3847 0.7500
Nb2 0.1347 0.6250 0.2500
Nb3 0.6153 0.1250 0.2500
Nb4 0.8750 0.8653 0.7500
Be1 0.5000 0.5000 0.0000
Be2 0.2500 0.7500 0.5000



2.
Below is crystalline BeNbPb3 at its relaxed geometry, with properties calculated at the PBE level.

- Final energy: -20.23 eV for the cell shown
- Density of states at the Fermi level: 0.909 states/eV/atom
- Calculated formation energy: 0.939 eV per atom
- Crystal system: cubic

Lattice parameters (Å, degrees): 5.0485 5.0485 5.0485 90.00 90.00 90.00
Last column: magnetic moment on the atom in μB.
Positions (direct):
Pb1 0.0000 0.5000 0.0000  -0.02
Pb2 0.0000 0.0000 0.5000  0.00
Pb3 0.5000 0.0000 0.0000  -0.02
Be1 0.0000 0.0000 0.0000  0.04
Nb1 0.5000 0.5000 0.5000  2.44



3.
Below is crystalline Be3NbPb at its relaxed geometry, with properties calculated at the PBE level.

- Final energy: -18.49 eV for the cell shown
- Excess energy over the best structure of this formula in the dataset: 0 meV per atom
- Density of states at the Fermi level: 1.221 states/eV/atom
- Calculated formation energy: 1.294 eV per atom
- Crystal system: cubic

Lattice parameters (Å, degrees): 4.6042 4.6042 4.6042 90.00 90.00 90.00
Positions (direct):
Pb1 0.5000 0.5000 0.5000
Be1 0.0000 0.5000 0.0000
Be2 0.0000 0.0000 0.5000
Be3 0.5000 0.0000 0.0000
Nb1 0.0000 0.0000 0.0000



4.
Below is crystalline Be2NbPb at its relaxed geometry, with properties calculated at the PBE level.

- Final energy: -36.77 eV for the cell shown
- Density of states at the Fermi level: 0.770 states/eV/atom
- Calculated formation energy: 0.711 eV per atom
- Crystal system: tetragonal

Lattice parameters (Å, degrees): 6.8765 6.8765 5.6198 52.28 52.28 90.00
Positions (direct):
Nb1 0.2500 0.7500 0.5000
Nb2 0.5000 0.5000 0.0000
Pb1 0.0000 0.0000 0.0000
Pb2 0.7500 0.2500 0.5000
Be1 0.8750 0.8716 0.7500
Be2 0.3750 0.3784 0.7500
Be3 0.6216 0.1250 0.2500
Be4 0.1284 0.6250 0.2500



5.
Below is crystalline Be3NbPb at its relaxed geometry, with properties calculated at the PBE level.

- Final energy: -16.60 eV for the cell shown
- Excess energy over the best structure of this formula in the dataset: 376 meV per atom
- Density of states at the Fermi level: 0.769 states/eV/atom
- Calculated formation energy: 1.671 eV per atom
- Crystal system: cubic

Lattice parameters (Å, degrees): 4.4793 4.4793 4.4793 90.00 90.00 90.00
Positions (direct):
Pb1 0.0000 0.0000 0.0000
Be1 0.5000 0.0000 0.0000
Be2 0.0000 0.0000 0.5000
Be3 0.0000 0.5000 0.0000
Nb1 0.5000 0.5000 0.5000



6.
Below is crystalline BeNb2RePb at its relaxed geometry, with properties calculated at the PBE level.

- Final energy: -29.03 eV for the cell shown
- Density of states at the Fermi level: 1.089 states/eV/atom
- Calculated formation energy: 2.198 eV per atom
- Crystal system: tetragonal

Lattice parameters (Å, degrees): 5.1545 4.0745 5.1545 90.00 90.00 90.00
Positions (direct):
Pb1 0.0000 0.0000 0.0000
Nb1 0.5000 0.0000 0.0000
Nb2 0.0000 0.0000 0.5000
Re1 0.5000 0.5000 0.5000
Be1 0.0000 0.5000 0.0000



7.
Below is crystalline BeNbPd3 at its relaxed geometry, with properties calculated at the PBE level.

- Final energy: -22.84 eV for the cell shown
- Excess energy over the best structure of this formula in the dataset: 1232 meV per atom
- Density of states at the Fermi level: 0.913 states/eV/atom
- Calculated formation energy: 1.306 eV per atom
- Crystal system: cubic

Lattice parameters (Å, degrees): 4.8209 4.8209 4.8209 90.00 90.00 90.00
Positions (direct):
Pd1 0.5000 0.0000 0.0000
Pd2 0.0000 0.0000 0.5000
Pd3 0.0000 0.5000 0.0000
Nb1 0.0000 0.0000 0.0000
Be1 0.5000 0.5000 0.5000



8.
Below is crystalline BeNbPd2 at its relaxed geometry, with properties calculated at the PBE level.

- Final energy: -47.43 eV for the cell shown
- Density of states at the Fermi level: 0.522 states/eV/atom
- Calculated formation energy: 0.116 eV per atom
- Crystal system: tetragonal

Lattice parameters (Å, degrees): 3.8255 3.8255 8.9961 77.72 77.72 90.00
Positions (direct):
Pd1 0.3750 0.3940 0.7500
Pd2 0.8750 0.8560 0.7500
Pd3 0.1440 0.6250 0.2500
Pd4 0.6060 0.1250 0.2500
Nb1 0.0000 0.0000 0.0000
Nb2 0.7500 0.2500 0.5000
Be1 0.2500 0.7500 0.5000
Be2 0.5000 0.5000 0.0000



9.
Below is crystalline Be2Nb2Pd at its relaxed geometry, with properties calculated at the PBE level.

- Final energy: -68.43 eV for the cell shown
- Density of states at the Fermi level: 0.611 states/eV/atom
- Calculated formation energy: -0.286 eV per atom
- Crystal system: tetragonal

Lattice parameters (Å, degrees): 6.0858 6.0858 3.6686 90.00 90.00 90.00
Positions (direct):
Pd1 0.0000 0.0000 0.0000
Pd2 0.5000 0.5000 0.0000
Nb1 0.8310 0.3310 0.5000
Nb2 0.6690 0.8310 0.5000
Nb3 0.1690 0.6690 0.5000
Nb4 0.3310 0.1690 0.5000
Be1 0.6277 0.1277 0.0000
Be2 0.8723 0.6277 0.0000
Be3 0.3723 0.8723 0.0000
Be4 0.1277 0.3723 0.0000



10.
Below is crystalline Be2NbPd at its relaxed geometry, with properties calculated at the PBE level.

- Final energy: -23.22 eV for the cell shown
- Excess energy over the best structure of this formula in the dataset: 189 meV per atom
- Density of states at the Fermi level: 0.634 states/eV/atom
- Calculated formation energy: -0.125 eV per atom
- Crystal system: cubic

Lattice parameters (Å, degrees): 4.1326 4.1326 4.1326 60.00 60.00 60.00
Last column: magnetic moment on the atom in μB.
Positions (direct):
Pd1 0.5000 0.5000 0.5000  0.20
Nb1 0.0000 0.0000 0.0000  0.73
Be1 0.7500 0.7500 0.7500  0.01
Be2 0.2500 0.2500 0.2500  0.01



11.
Below is crystalline Be2NbPd3 at its relaxed geometry, with properties calculated at the PBE level.

- Final energy: -36.23 eV for the cell shown
- Density of states at the Fermi level: 0.341 states/eV/atom
- Calculated formation energy: -0.522 eV per atom
- Crystal system: tetragonal

Lattice parameters (Å, degrees): 2.7989 2.7989 9.9735 90.00 90.00 90.00
Positions (direct):
Nb1 0.5000 0.5000 0.5000
Pd1 0.0000 0.0000 0.2874
Pd2 0.0000 0.0000 0.7126
Pd3 0.0000 0.0000 0.0000
Be1 0.5000 0.5000 0.8510
Be2 0.5000 0.5000 0.1490



12.
Below is crystalline Be3NbPd at its relaxed geometry, with properties calculated at the PBE level.

- Final energy: -24.54 eV for the cell shown
- Excess energy over the best structure of this formula in the dataset: 0 meV per atom
- Density of states at the Fermi level: 1.207 states/eV/atom
- Calculated formation energy: 0.380 eV per atom
- Crystal system: cubic

Lattice parameters (Å, degrees): 4.0846 4.0846 4.0846 90.00 90.00 90.00
Positions (direct):
Nb1 0.5000 0.5000 0.5000
Be1 0.0000 0.0000 0.5000
Be2 0.0000 0.5000 0.0000
Be3 0.5000 0.0000 0.0000
Pd1 0.0000 0.0000 0.0000